1.
14
Lattice="-2.905 4.451 -1.965 0.357 -2.161 -5.425 -4.417 -4.808 1.625" Properties=species:S:1:pos:R:3 comment="AcAlCdO4, relaxed, DFT GGA-PBE" crystal_system=monoclinic e_form_raw_ev_per_atom=-2.498 final_energy_ev_per_atom=-6.583 pbc="T T T"
Ac -5.984 -2.878 -3.979
Ac -0.981 0.361 -1.786
O -5.244 -2.166 -1.060
O -3.669 -2.379 -4.026
O -3.296 -0.139 -1.739
O -1.721 -0.352 -4.705
O -0.943 -3.164 -4.981
O -6.022 0.647 -0.783
O -5.858 -0.345 -3.273
O -1.107 -2.172 -2.491
Cd -2.785 -2.308 -0.841
Cd -4.180 -0.210 -4.923
Al -1.975 -2.002 -4.064
Al -4.990 -0.516 -1.700



2.
14
Lattice="4.364 0.000 0.000 0.000 7.668 0.000 0.000 0.000 7.668" Properties=species:S:1:pos:R:3 comment="PaZn4Au2, relaxed, DFT GGA-PBE" formation_enthalpy_0k_mev_per_atom=-193.6 crystal_system=tetragonal final_energy_ev_per_atom=-3.214 pbc="T T T"
Zn 0.000 0.746 2.673
Zn 2.182 3.088 6.507
Zn 0.000 2.673 0.746
Zn 0.000 6.922 4.995
Zn 2.182 4.580 1.161
Zn 0.000 4.995 6.922
Zn 2.182 6.507 3.088
Zn 2.182 1.161 4.580
Pa 0.000 3.834 3.834
Pa 2.182 0.000 0.000
Au 0.000 1.588 6.080
Au 2.182 5.422 5.422
Au 2.182 2.246 2.246
Au 0.000 6.080 1.588



Question: Which formula does entry 2 have?
Answer: PaZn4Au2